No. 1
A plane-wave DFT calculation with PBE was carried out for a geometry-optimized TaPdN2 structure. Values from VASP.

* magnetic moment: 0.000 μB per formula unit
* formation energy (no corrections): -43.7 kJ/mol of atoms
* VASP energy: -8.88 eV per atom

Geometry as Quantum ESPRESSO input:
```
&SYSTEM
  ibrav = 0, nat = 4, ntyp = 3
/
ATOMIC_SPECIES
Ta 180.95 Ta.upf
N 14.01 N.upf
Pd 106.42 Pd.upf
CELL_PARAMETERS angstrom
1.8169 5.6307 2.6148
3.9947 5.0679 0.4493
1.2622 6.3331 -0.3765
ATOMIC_POSITIONS crystal
Ta 0.5000 0.5000 0.5000
N 0.8910 0.8910 0.8910
N 0.1090 0.1090 0.1090
Pd 0.0000 0.0000 0.0000
```

=====

No. 2
A plane-wave DFT calculation with PBE was carried out for a geometry-optimized Cs2MgZnBi2 structure. Values from VASP.

* magnetic moment: 0.000 μB per formula unit
* energy of formation from the pure elements: -0.357 eV/atom
* VASP energy: -2.41 eV per atom

Geometry as Quantum ESPRESSO input:
```
&SYSTEM
  ibrav = 0, nat = 12, ntyp = 4
/
ATOMIC_SPECIES
Bi 208.98 Bi.upf
Mg 24.30 Mg.upf
Zn 65.41 Zn.upf
Cs 132.91 Cs.upf
CELL_PARAMETERS angstrom
7.0831 0.0000 0.0000
0.0000 7.1165 0.0000
-3.5415 -3.5583 9.2081
ATOMIC_POSITIONS crystal
Bi 0.6507 0.4117 0.8233
Bi 0.8274 0.0883 0.1767
Bi 0.3493 0.5883 0.1767
Bi 0.1726 0.9117 0.8233
Mg 0.0000 0.7500 0.0000
Mg 0.0000 0.2500 0.0000
Zn 0.5000 0.7500 0.0000
Zn 0.5000 0.2500 0.0000
Cs 0.9180 0.6693 0.3386
Cs 0.0820 0.3307 0.6614
Cs 0.5793 0.8307 0.6614
Cs 0.4207 0.1693 0.3386
```

=====

No. 3
A plane-wave DFT calculation with PBE was carried out for a geometry-optimized Sr3TbY2Te6 structure. Values from VASP.

* magnetic moment: 0.000 μB per formula unit
* formation energy (no corrections): -145.3 kJ/mol of atoms
* VASP energy: -4.96 eV per atom

Geometry as Quantum ESPRESSO input:
```
&SYSTEM
  ibrav = 0, nat = 12, ntyp = 4
/
ATOMIC_SPECIES
Y 88.91 Y.upf
Sr 87.62 Sr.upf
Te 127.60 Te.upf
Tb 158.93 Tb.upf
CELL_PARAMETERS angstrom
7.7781 0.0035 0.0004
-3.8842 6.7388 0.0004
-1.2985 -2.2484 7.5473
ATOMIC_POSITIONS crystal
Y 0.3333 0.6667 0.0000
Y 0.6667 0.3333 0.0000
Sr 0.8335 0.1665 0.5000
Sr 0.1665 0.8335 0.5000
Sr 0.5000 0.5000 0.5000
Te 0.4110 0.0773 0.2319
Te 0.9227 0.5890 0.7681
Te 0.7434 0.7434 0.2318
Te 0.5890 0.9227 0.7681
Te 0.0773 0.4110 0.2319
Te 0.2566 0.2566 0.7682
Tb 0.0000 0.0000 0.0000
```

=====

No. 4
A plane-wave DFT calculation with PBE was carried out for a geometry-optimized TlSnPb2 structure. Values from VASP.

* magnetic moment: 0.000 μB per formula unit
* energy of formation from the pure elements: 0.253 eV/atom
* VASP energy: -3.19 eV per atom

Geometry as Quantum ESPRESSO input:
```
&SYSTEM
  ibrav = 0, nat = 8, ntyp = 3
/
ATOMIC_SPECIES
Pb 207.20 Pb.upf
Sn 118.71 Sn.upf
Tl 204.38 Tl.upf
CELL_PARAMETERS angstrom
7.0456 0.0000 0.0000
0.0000 7.0456 0.0000
3.5228 3.5228 6.6631
ATOMIC_POSITIONS crystal
Pb 0.1339 0.6250 0.2500
Pb 0.6161 0.1250 0.2500
Pb 0.8750 0.8661 0.7500
Pb 0.3750 0.3839 0.7500
Sn 0.2500 0.7500 0.5000
Sn 0.5000 0.5000 0.0000
Tl 0.7500 0.2500 0.5000
Tl 0.0000 0.0000 0.0000
```

=====

No. 5
A plane-wave DFT calculation with PBE was carried out for a geometry-optimized Be3CdSn structure. Values from VASP.

* magnetic moment: 0.000 μB per formula unit
* energy of formation from the pure elements: 1.143 eV/atom
* VASP energy: -2.08 eV per atom

Geometry as Quantum ESPRESSO input:
```
&SYSTEM
  ibrav = 0, nat = 5, ntyp = 3
/
ATOMIC_SPECIES
Be 9.01 Be.upf
Cd 112.41 Cd.upf
Sn 118.71 Sn.upf
CELL_PARAMETERS angstrom
4.6775 0.0000 0.0000
0.0000 4.6775 0.0000
0.0000 0.0000 4.6775
ATOMIC_POSITIONS crystal
Be 0.0000 0.0000 0.5000
Be 0.5000 0.0000 0.0000
Be 0.0000 0.5000 0.0000
Cd 0.5000 0.5000 0.5000
Sn 0.0000 0.0000 0.0000
```

=====

No. 6
A plane-wave DFT calculation with PBE was carried out for a geometry-optimized Pr3Er4Tm3 structure. Values from VASP.

* magnetic moment: 0.000 μB per formula unit
* energy of formation from the pure elements: 0.104 eV/atom
* VASP energy: -4.50 eV per atom

Geometry as Quantum ESPRESSO input:
```
&SYSTEM
  ibrav = 0, nat = 10, ntyp = 3
/
ATOMIC_SPECIES
Er 167.26 Er.upf
Tm 168.93 Tm.upf
Pr 140.91 Pr.upf
CELL_PARAMETERS angstrom
-2.0262 -2.4384 -1.8565
6.6792 -6.5086 1.2589
-4.1777 -2.6289 8.0122
ATOMIC_POSITIONS crystal
Er 0.0000 0.3724 0.6276
Er 0.0000 0.8799 0.8720
Er 0.0000 0.6254 0.3746
Er 0.0000 0.1280 0.1201
Tm 0.5000 0.1740 0.8260
Tm 0.0000 0.0030 0.5084
Tm 0.0000 0.4916 0.9970
Pr 0.5000 0.3251 0.3265
Pr 0.5000 0.8271 0.1729
Pr 0.5000 0.6735 0.6749
```